Material: LaTbCeEu
Method: DFT, PBE
State: relaxed

Cell lengths 5.850, 5.850, 5.850 Å; angles 60.00, 60.00, 60.00 degrees
Sites, in units of the cell vectors:
La (0.000, 0.000, 0.000)
Tb (0.500, 0.500, 0.500)
Ce (0.750, 0.750, 0.750)
Eu (0.250, 0.250, 0.250)

Results
**Total DFT energy (no corrections)**: -24.818 eV per cell
**N(E_F)**: 12.28 states/eV/f.u.
**Total magnetization**: 9.50 Bohr magnetons per cell
**Space-group type**: F-43m, No. 216